No. 1
DFT (GGA-PBE) results for crystalline NaYTe2 at its relaxed geometry.

The crystal system is orthorhombic. For the uncorrected formation energy, the calculation gives -0.7960 eV per atom.

It has space group Cmcm (No. 63), with a = 4.039 Å, b = 24.272 Å, c = 5.913 Å, α = 90.00°, β = 90.00° and γ = 90.00°. Symmetry generates all atoms from Na at (0.000, 0.181, 0.250), Y at (0.000, 0.433, 0.250), Te at (0.000, 0.313, 0.250) and Te at (0.000, 0.441, 0.750).

No. 2
DFT (GGA-PBE) results for crystalline Tb2Al2Cu at its relaxed geometry.

Its formation enthalpy at 0 K is -0.40 eV/atom. The crystal system is monoclinic.

It has space group C2/m (No. 12), with a = 10.478 Å, b = 4.456 Å, c = 10.681 Å, α = 90.00°, β = 118.27° and γ = 90.00°. Symmetry generates all atoms from Tb at (0.009, 0.000, 0.330), Tb at (0.189, 0.000, 0.107), Al at (0.010, 0.500, 0.880), Al at (0.148, 0.500, 0.558) and Cu at (0.227, 0.500, 0.350).

No. 3
DFT (GGA-PBE) results for crystalline Pm2Se2Br at its relaxed geometry.

The crystal system is monoclinic. For the uncorrected formation energy, the calculation gives -1.8367 eV per atom.

It has space group C2/m (No. 12), with a = 13.289 Å, b = 5.847 Å, c = 8.493 Å, α = 90.00°, β = 109.05° and γ = 90.00°. Symmetry generates all atoms from Pm at (0.003, 0.000, 0.241), Pm at (0.162, 0.500, 0.075), Se at (0.004, 0.500, 0.250), Se at (0.169, 0.000, 0.086) and Br at (0.162, 0.000, 0.588).

No. 4
DFT (GGA-PBE) results for crystalline SrCoCl at its relaxed geometry.

The crystal system is cubic. For the uncorrected formation energy, the calculation gives -0.1033 eV per atom.

It has space group F-43m (No. 216), with a = 7.261 Å, b = 7.261 Å, c = 7.261 Å, α = 90.00°, β = 90.00° and γ = 90.00°. Symmetry generates all atoms from Sr at (0.000, 0.000, 0.000), Co at (0.250, 0.250, 0.750) and Cl at (0.250, 0.250, 0.250).

no.,VASP energy (eV per atom)
1,-4.313
2,-4.564
3,-5.465
4,-3.648